# 1
A plane-wave DFT calculation with PBE was carried out for a geometry-optimized Li5Ga3Ir structure.

Cell: 5.866 5.866 10.018 Å, 97.82 97.82 78.87°
Element x y z (fractional)
1 Li 0.030 0.030 0.353
2 Li 0.104 0.491 0.330
3 Li 0.173 0.827 0.000
4 Li 0.232 0.232 0.842
5 Li 0.491 0.104 0.330
6 Li 0.509 0.896 0.670
7 Li 0.768 0.768 0.158
8 Li 0.827 0.173 0.000
9 Li 0.896 0.509 0.670
10 Li 0.970 0.970 0.647
11 Ga 0.251 0.251 0.571
12 Ga 0.259 0.259 0.107
13 Ga 0.500 0.500 0.000
14 Ga 0.500 0.500 0.500
15 Ga 0.741 0.741 0.893
16 Ga 0.749 0.749 0.429
17 Ir 0.484 0.484 0.751
18 Ir 0.516 0.516 0.249

* formation energy from the elements: -0.104 eV per atom
* mass density: 4.35 Mg/m³


# 2
A plane-wave DFT calculation with PBE was carried out for a geometry-optimized Li8Ga6Ir structure.

Cell: 6.952 6.952 6.952 Å, 61.51 61.51 61.51°
Element x y z (fractional)
1 Li 0.087 0.087 0.087
2 Li 0.149 0.337 0.633
3 Li 0.337 0.633 0.149
4 Li 0.367 0.851 0.663
5 Li 0.633 0.149 0.337
6 Li 0.663 0.367 0.851
7 Li 0.851 0.663 0.367
8 Li 0.913 0.913 0.913
9 Ga 0.080 0.786 0.513
10 Ga 0.214 0.487 0.920
11 Ga 0.487 0.920 0.214
12 Ga 0.513 0.080 0.786
13 Ga 0.786 0.513 0.080
14 Ga 0.920 0.214 0.487
15 Ir 0.500 0.500 0.500

* formation energy from the elements: -0.269 eV per atom
* mass density: 4.50 Mg/m³


# 3
A plane-wave DFT calculation with PBE was carried out for a geometry-optimized Li5Ga12Ir2 structure.

Cell: 7.577 6.084 7.595 Å, 90.00 113.75 90.00°
Element x y z (fractional)
1 Li 0.000 0.000 0.000
2 Li 0.262 0.000 0.737
3 Li 0.323 0.500 0.677
4 Li 0.677 0.500 0.323
5 Li 0.738 0.000 0.263
6 Ga 0.082 0.216 0.378
7 Ga 0.082 0.784 0.378
8 Ga 0.106 0.500 0.894
9 Ga 0.379 0.216 0.082
10 Ga 0.379 0.784 0.082
11 Ga 0.500 0.206 0.500
12 Ga 0.500 0.794 0.500
13 Ga 0.621 0.216 0.918
14 Ga 0.621 0.784 0.918
15 Ga 0.894 0.500 0.106
16 Ga 0.918 0.216 0.622
17 Ga 0.918 0.784 0.622
18 Ir 0.277 0.500 0.277
19 Ir 0.723 0.500 0.723

* formation energy from the elements: -0.294 eV per atom
* mass density: 6.51 Mg/m³


# 4
A plane-wave DFT calculation with PBE was carried out for a geometry-optimized LiGaIr structure.

Cell: 4.656 4.656 4.656 Å, 140.72 140.72 56.77°
Element x y z (fractional)
1 Li 0.000 0.000 0.000
2 Ga 0.327 0.327 0.000
3 Ir 0.663 0.663 0.000

* formation energy from the elements: -0.385 eV per atom
* mass density: 11.12 Mg/m³


# 5
A plane-wave DFT calculation with PBE was carried out for a geometry-optimized LiGaIr2 structure.

Cell: 5.746 5.746 5.746 Å, 100.43 100.43 129.63°
Element x y z (fractional)
1 Li 0.000 0.000 0.000
2 Li 0.750 0.250 0.500
3 Ga 0.250 0.750 0.500
4 Ga 0.500 0.500 0.000
5 Ir 0.175 0.625 0.050
6 Ir 0.375 0.425 0.550
7 Ir 0.575 0.125 0.950
8 Ir 0.875 0.825 0.450

* formation energy from the elements: 0.186 eV per atom
* mass density: 11.58 Mg/m³


# 6
A plane-wave DFT calculation with PBE was carried out for a geometry-optimized Li3Ga4Ir structure.

Cell: 6.711 6.711 4.402 Å, 109.10 109.10 38.29°
Element x y z (fractional)
1 Li 0.000 0.000 0.000
2 Li 0.262 0.262 0.264
3 Li 0.738 0.738 0.736
4 Ga 0.124 0.124 0.628
5 Ga 0.376 0.376 0.876
6 Ga 0.624 0.624 0.124
7 Ga 0.876 0.876 0.372
8 Ir 0.500 0.500 0.500

* excess energy over the best structure of this formula in the dataset: 0 meV/atom
* formation energy from the elements: -0.374 eV per atom
* mass density: 7.09 Mg/m³


# 7
A plane-wave DFT calculation with PBE was carried out for a geometry-optimized LiGaIr structure.

Cell: 4.069 4.069 5.513 Å, 90.00 90.00 120.00°
Element x y z (fractional)
1 Li 0.333 0.667 0.250
2 Li 0.667 0.333 0.750
3 Ga 0.333 0.667 0.750
4 Ga 0.667 0.333 0.250
5 Ir 0.000 0.000 0.000
6 Ir 0.000 0.000 0.500

* formation energy from the elements: -0.423 eV per atom
* mass density: 11.30 Mg/m³


# 8
A plane-wave DFT calculation with PBE was carried out for a geometry-optimized LiGaIr2 structure.

Cell: 4.993 4.993 4.503 Å, 112.46 112.46 32.63°
Element x y z (fractional)
1 Li 0.000 0.000 0.000
2 Ga 0.231 0.231 0.586
3 Ir 0.486 0.486 0.501
4 Ir 0.753 0.753 0.093

* formation energy from the elements: -0.319 eV per atom
* mass density: 13.79 Mg/m³


What did the fifth record say?
A plane-wave DFT calculation with PBE was carried out for a geometry-optimized LiGaIr2 structure.

Cell: 5.746 5.746 5.746 Å, 100.43 100.43 129.63°
Element x y z (fractional)
1 Li 0.000 0.000 0.000
2 Li 0.750 0.250 0.500
3 Ga 0.250 0.750 0.500
4 Ga 0.500 0.500 0.000
5 Ir 0.175 0.625 0.050
6 Ir 0.375 0.425 0.550
7 Ir 0.575 0.125 0.950
8 Ir 0.875 0.825 0.450

* formation energy from the elements: 0.186 eV per atom
* mass density: 11.58 Mg/m³


Which of these has the lowest formation energy from the elements?
number 7


Which of these has the highest mass density?
number 8


The lowest formation energy from the elements belongs to which entry?
number 7